Density functional theory data (PBE) for a geometry-optimized NbCu2Re structure.

Values from the calculation:
Magnetic moment ... 0.00 μB per cell
Theoretical density ... 11.82 g/cm3
Energy of formation ... 0.364 eV per atom
Energy above the most stable polymorph in this dataset ... 0.0 meV/atom

Unit cell a=6.112 b=6.112 c=6.112 alpha=90.00 beta=90.00 gamma=90.00
Space group Fm-3m (No. 225)
Unique sites:
1 Nb 0.000 0.000 0.000
2 Cu 0.250 0.250 0.250
3 Re 0.000 0.000 0.500

=====

Density functional theory data (PBE) for a geometry-optimized Nb2CuRe structure.

Values from the calculation:
Magnetic moment ... 0.00 μB per cell
Theoretical density ... 11.22 g/cm3
Energy of formation ... -0.027 eV per atom

Unit cell a=4.479 b=4.479 c=3.213 alpha=90.00 beta=90.00 gamma=90.00
Space group P4/mmm (No. 123)
Unique sites:
1 Nb 0.000 0.500 0.000
2 Cu 0.000 0.000 0.500
3 Re 0.500 0.500 0.500

=====

Density functional theory data (PBE) for a geometry-optimized Nb2CuRe2 structure.

Values from the calculation:
Magnetic moment ... 0.00 μB per cell
Theoretical density ... 11.84 g/cm3
Energy of formation ... 0.496 eV per atom
Energy above the most stable polymorph in this dataset ... 114.5 meV/atom

Unit cell a=7.585 b=7.585 c=3.032 alpha=90.00 beta=90.00 gamma=90.00
Space group P4/mbm (No. 127)
Unique sites:
1 Nb 0.148 0.352 0.000
2 Cu 0.000 0.000 0.000
3 Re 0.151 0.651 0.500

=====

Density functional theory data (PBE) for a geometry-optimized Nb2CuRe structure.

Values from the calculation:
Magnetic moment ... 0.00 μB per cell
Theoretical density ... 10.84 g/cm3
Energy of formation ... 0.293 eV per atom

Unit cell a=3.0083 b=3.0083 c=25.5351 alpha=90.00 beta=90.00 gamma=120.00
Space group R-3m (No. 166, hexagonal axes)
Unique sites:
1 Nb 0.0000 0.0000 0.2493
2 Cu 0.0000 0.0000 0.0000
3 Re 0.0000 0.0000 0.5000

=====

Density functional theory data (PBE) for a geometry-optimized NbCu2Re structure.

Values from the calculation:
Magnetic moment ... 0.00 μB per cell
Theoretical density ... 10.66 g/cm3
Energy of formation ... 0.601 eV per atom
Energy above the most stable polymorph in this dataset ... 236.6 meV/atom

Unit cell a=3.654 b=3.654 c=18.955 alpha=90.00 beta=90.00 gamma=90.00
Space group I-42d (No. 122)
Unique sites:
1 Nb 0.000 0.000 0.000
2 Cu 0.232 0.250 0.625
3 Re 0.000 0.000 0.500

=====

Density functional theory data (PBE) for a geometry-optimized Nb2CuRe structure.

Values from the calculation:
Magnetic moment ... 0.00 μB per cell
Theoretical density ... 10.65 g/cm3
Energy of formation ... 0.741 eV per atom

Unit cell a=2.650 b=4.938 c=10.381 alpha=90.00 beta=90.00 gamma=90.00
Space group Immm (No. 71)
Unique sites:
1 Nb 0.000 0.000 0.242
2 Cu 0.000 0.000 0.000
3 Re 0.000 0.000 0.500

=====

Copy entry 1 word for word.
Density functional theory data (PBE) for a geometry-optimized NbCu2Re structure.

Values from the calculation:
Magnetic moment ... 0.00 μB per cell
Theoretical density ... 11.82 g/cm3
Energy of formation ... 0.364 eV per atom
Energy above the most stable polymorph in this dataset ... 0.0 meV/atom

Unit cell a=6.112 b=6.112 c=6.112 alpha=90.00 beta=90.00 gamma=90.00
Space group Fm-3m (No. 225)
Unique sites:
1 Nb 0.000 0.000 0.000
2 Cu 0.250 0.250 0.250
3 Re 0.000 0.000 0.500

=====

Repeat the fifth record exactly.
Density functional theory data (PBE) for a geometry-optimized NbCu2Re structure.

Values from the calculation:
Magnetic moment ... 0.00 μB per cell
Theoretical density ... 10.66 g/cm3
Energy of formation ... 0.601 eV per atom
Energy above the most stable polymorph in this dataset ... 236.6 meV/atom

Unit cell a=3.654 b=3.654 c=18.955 alpha=90.00 beta=90.00 gamma=90.00
Space group I-42d (No. 122)
Unique sites:
1 Nb 0.000 0.000 0.000
2 Cu 0.232 0.250 0.625
3 Re 0.000 0.000 0.500